{"formula": "Ga2AgTe4Au", "functional": "PBE-GGA", "state": "relaxed", "lattice_angstrom": [[-3.1905, 3.1905, 6.1549], [3.1905, -3.1905, 6.1549], [3.1905, 3.1905, -6.1549]], "species": ["Ga", "Ga", "Ag", "Te", "Te", "Te", "Te", "Au"], "fractional_positions": [[0.0000, 0.0000, 0.0000], [0.7500, 0.2500, 0.5000], [0.5000, 0.5000, 0.0000], [0.1109, 0.6265, 0.9895], [0.3735, 0.3630, 0.4844], [0.6370, 0.1214, 0.0105], [0.8786, 0.8891, 0.5156], [0.2500, 0.7500, 0.5000]], "spacegroup": "I-4 (82)", "volume_a3_per_atom": 31.33, "energy_ev_per_atom": -3.355}

***

{"formula": "Sr3MgNb2O9", "functional": "PBE-GGA", "state": "relaxed", "lattice_angstrom": [[5.6748, 0.0000, 0.0000], [-2.8374, 4.9145, 0.0000], [0.0000, 0.0000, 6.9689]], "species": ["Sr", "Sr", "Sr", "Mg", "Nb", "Nb", "O", "O", "O", "O", "O", "O", "O", "O", "O"], "fractional_positions": [[0.0000, 0.0000, 0.0000], [0.3333, 0.6667, 0.6667], [0.6667, 0.3333, 0.3333], [0.0000, 0.0000, 0.5000], [0.3333, 0.6667, 0.1814], [0.6667, 0.3333, 0.8186], [0.0000, 0.5000, 0.0000], [0.1674, 0.3348, 0.3299], [0.1674, 0.8326, 0.3299], [0.3348, 0.1674, 0.6701], [0.5000, 0.0000, 0.0000], [0.5000, 0.5000, 0.0000], [0.6652, 0.8326, 0.3299], [0.8326, 0.1674, 0.6701], [0.8326, 0.6652, 0.6701]], "spacegroup": "P-3m1 (164)", "volume_a3_per_atom": 12.96, "energy_ev_per_atom": -7.620}

***

{"formula": "Dy2Cu", "functional": "PBE-GGA", "state": "relaxed", "lattice_angstrom": [[0.0000, 5.9255, 5.9255], [5.9255, 0.0000, 5.9255], [5.9255, 5.9255, 0.0000]], "species": ["Dy", "Dy", "Dy", "Dy", "Cu", "Cu"], "fractional_positions": [[0.0000, 0.0000, 0.0000], [0.0000, 0.0000, 0.5000], [0.0000, 0.5000, 0.0000], [0.5000, 0.0000, 0.0000], [0.1250, 0.1250, 0.1250], [0.8750, 0.8750, 0.8750]], "ef_ev_per_atom": 1.3517, "spacegroup": "Fd-3m (227)", "volume_a3_per_atom": 69.35}

***

{"formula": "KSr2Mo", "functional": "PBE-GGA", "state": "relaxed", "lattice_angstrom": [[4.7059, 0.0000, 0.0000], [0.0000, 5.8535, 0.0000], [0.0000, 0.0000, 5.8648]], "species": ["K", "Sr", "Sr", "Mo"], "fractional_positions": [[0.0000, 0.0000, 0.0000], [0.5000, 0.0000, 0.5000], [0.5000, 0.5000, 0.0000], [0.0000, 0.5000, 0.5000]], "spacegroup": "Pmmm (47)", "volume_a3_per_atom": 40.39, "energy_ev_per_atom": -2.814}